Record 1
A relaxed structure of RbW2Cl2, computed with PBE-GGA.

```
RbW2Cl2
1.0
9.523 0.000 0.000
0.000 9.523 0.000
0.000 0.000 2.966
Rb W Cl
2 4 4
Direct
0.000 0.000 0.000
0.500 0.500 0.000
0.088 0.588 0.500
0.588 0.912 0.500
0.912 0.412 0.500
0.412 0.088 0.500
0.239 0.739 0.000
0.739 0.761 0.000
0.761 0.261 0.000
0.261 0.239 0.000
```

Results
For the raw total energy, the calculation gives -5.352 eV per atom. The excess energy over the best structure of this formula in the dataset comes out at 403.1 meV/atom. The uncorrected formation energy comes out at 3.81 eV per formula unit. The calculation puts the density of states at the Fermi level at 7.9 states/eV per cell.



Record 2
A relaxed structure of Rb2WCl5, computed with PBE-GGA.

```
Rb2WCl5
1.0
7.614 0.000 0.000
0.000 7.614 -0.001
-3.807 -3.808 4.663
Rb W Cl
2 1 5
Direct
0.258 0.758 0.517
0.758 0.258 0.517
0.981 0.981 0.962
0.788 0.236 0.024
0.236 0.236 0.023
0.787 0.787 0.023
0.236 0.787 0.023
0.732 0.733 0.465
```

Results
For the raw total energy, the calculation gives -4.241 eV per atom. The uncorrected formation energy comes out at -9.80 eV per formula unit.



Record 3
A relaxed structure of RbWCl3, computed with PBE-GGA.

```
RbWCl3
1.0
5.860 0.000 0.000
0.000 5.860 0.000
0.000 0.000 5.860
Rb W Cl
1 1 3
Direct
0.000 0.000 0.000
0.500 0.500 0.500
0.000 0.500 0.000
0.000 0.000 0.500
0.500 0.000 0.000
```

Results
For the raw total energy, the calculation gives -2.949 eV per atom. The excess energy over the best structure of this formula in the dataset comes out at 1872.3 meV/atom. The uncorrected formation energy comes out at 4.72 eV per formula unit. The calculation puts the density of states at the Fermi level at 19.0 states/eV per cell.



Record 4
A relaxed structure of RbWCl2, computed with PBE-GGA.

```
RbWCl2
1.0
1.887 0.000 9.566
-0.944 1.634 9.566
-0.944 -1.634 9.566
Rb W Cl
1 1 2
Direct
0.500 0.500 0.500
0.000 0.000 0.000
0.918 0.918 0.918
0.082 0.082 0.082
```

Results
For the raw total energy, the calculation gives -4.448 eV per atom. The excess energy over the best structure of this formula in the dataset comes out at 0.0 meV/atom. The uncorrected formation energy comes out at -0.18 eV per formula unit. The calculation puts the density of states at the Fermi level at 3.1 states/eV per cell.



Record 5
A relaxed structure of Rb6WCl12, computed with PBE-GGA.

```
Rb6WCl12
1.0
-6.381 -2.798 6.580
-5.624 -0.571 -7.739
4.671 -8.303 -1.044
Rb W Cl
6 1 12
Direct
0.614 0.836 0.394
0.606 0.386 0.164
0.164 0.606 0.386
0.386 0.164 0.606
0.394 0.614 0.836
0.836 0.394 0.614
0.000 0.000 0.000
0.836 0.620 0.394
0.394 0.836 0.620
0.620 0.394 0.836
0.164 0.380 0.606
0.606 0.164 0.380
0.380 0.606 0.164
0.078 0.975 0.233
0.025 0.767 0.922
0.767 0.922 0.025
0.922 0.025 0.767
0.975 0.233 0.078
0.233 0.078 0.975
```

Results
For the raw total energy, the calculation gives -3.625 eV per atom. The uncorrected formation energy comes out at -27.95 eV per formula unit. The calculation puts the density of states at the Fermi level at 13.4 states/eV per cell.



Record 6
A relaxed structure of Rb2WCl, computed with PBE-GGA.

```
Rb2WCl
1.0
0.000 4.335 4.335
4.335 0.000 4.335
4.335 4.335 0.000
Rb W Cl
2 1 1
Direct
0.250 0.250 0.250
0.750 0.750 0.750
0.500 0.500 0.500
0.000 0.000 0.000
```

Results
For the raw total energy, the calculation gives -3.405 eV per atom. The excess energy over the best structure of this formula in the dataset comes out at 0.0 meV/atom. The uncorrected formation energy comes out at 3.12 eV per formula unit. The calculation puts the density of states at the Fermi level at 0.0 states/eV per cell.



Record 7
A relaxed structure of Rb3WCl, computed with PBE-GGA.

```
Rb3WCl
1.0
-1.902 -5.672 2.067
-1.751 -1.556 -5.881
5.778 -2.339 -1.101
Rb W Cl
3 1 1
Direct
0.000 0.500 0.000
0.000 0.000 0.500
0.500 0.000 0.000
0.500 0.500 0.500
0.000 0.000 0.000
```

Results
For the raw total energy, the calculation gives -3.027 eV per atom. The excess energy over the best structure of this formula in the dataset comes out at 0.0 meV/atom. The uncorrected formation energy comes out at 2.57 eV per formula unit. The calculation puts the density of states at the Fermi level at 2.0 states/eV per cell.



Record 8
A relaxed structure of RbWCl3, computed with PBE-GGA.

```
RbWCl3
1.0
5.058 0.000 0.000
0.000 5.058 0.000
0.000 0.000 5.058
Rb W Cl
1 1 3
Direct
0.500 0.500 0.500
0.000 0.000 0.000
0.000 0.500 0.000
0.500 0.000 0.000
0.000 0.000 0.500
```

Results
For the raw total energy, the calculation gives -4.487 eV per atom. The excess energy over the best structure of this formula in the dataset comes out at 333.6 meV/atom. The uncorrected formation energy comes out at -2.98 eV per formula unit. The calculation puts the density of states at the Fermi level at 1.6 states/eV per cell.



Record 9
A relaxed structure of RbW2Cl2, computed with PBE-GGA.

```
RbW2Cl2
1.0
3.641 0.000 0.000
0.000 3.641 0.000
1.821 1.821 9.244
Rb W Cl
1 2 2
Direct
0.000 0.000 0.000
0.750 0.250 0.500
0.250 0.750 0.500
0.390 0.390 0.219
0.610 0.610 0.781
```

Results
For the raw total energy, the calculation gives -5.755 eV per atom. The excess energy over the best structure of this formula in the dataset comes out at 0.0 meV/atom. The uncorrected formation energy comes out at 1.79 eV per formula unit. The calculation puts the density of states at the Fermi level at 4.7 states/eV per cell.



Record 10
A relaxed structure of RbWCl2, computed with PBE-GGA.

```
RbWCl2
1.0
-5.101 -0.197 3.120
2.406 -4.062 3.676
0.918 2.850 7.417
Rb W Cl
2 2 4
Direct
0.500 0.500 0.000
0.250 0.750 0.500
0.000 0.000 0.000
0.750 0.250 0.500
0.768 0.125 0.250
0.982 0.625 0.250
0.375 0.232 0.750
0.875 0.018 0.750
```

Results
For the raw total energy, the calculation gives -4.211 eV per atom. The excess energy over the best structure of this formula in the dataset comes out at 237.5 meV/atom. The uncorrected formation energy comes out at 0.77 eV per formula unit. The calculation puts the density of states at the Fermi level at 8.1 states/eV per cell.



Record 11
A relaxed structure of RbWCl4, computed with PBE-GGA.

```
RbWCl4
1.0
6.508 -0.207 -2.213
-0.911 6.880 -3.325
-0.903 0.094 9.349
Rb W Cl
2 2 8
Direct
0.165 0.205 0.409
0.835 0.795 0.591
0.067 0.440 0.880
0.933 0.560 0.120
0.728 0.316 0.632
0.758 0.823 0.228
0.000 0.766 0.000
0.242 0.595 0.772
0.272 0.684 0.368
0.242 0.177 0.772
0.000 0.234 0.000
0.758 0.405 0.228
```

Results
For the raw total energy, the calculation gives -4.584 eV per atom. The uncorrected formation energy comes out at -6.20 eV per formula unit.



Record 12
A relaxed structure of Rb2WCl, computed with PBE-GGA.

```
Rb2WCl
1.0
-2.467 10.168 -7.669
-11.201 -5.450 -3.622
-7.905 3.407 -3.911
Rb W Cl
4 2 2
Direct
0.446 0.125 0.250
0.304 0.625 0.250
0.375 0.554 0.750
0.875 0.696 0.750
0.000 0.000 0.000
0.750 0.250 0.500
0.500 0.500 0.000
0.250 0.750 0.500
```

Results
For the raw total energy, the calculation gives -3.374 eV per atom. The excess energy over the best structure of this formula in the dataset comes out at 31.1 meV/atom. The uncorrected formation energy comes out at 3.24 eV per formula unit. The calculation puts the density of states at the Fermi level at 9.3 states/eV per cell.